No. 1
Density functional theory data (PBE) for an optimized crystal structure of HfTlI2O.

The crystal system is tetragonal. The calculation puts the polymorph energy (0 for the lowest one) at 1706 meV per atom. The total energy comes out at -3.552 eV/atom. The value obtained for the uncorrected formation energy is 0.523 eV/atom.

The structure belongs to space group P4/mmm (No. 123); the cell edges are 4.9227, 4.9227 and 5.1187 Å and the angles 90.00°, 90.00° and 90.00°. The inequivalent atoms are Hf at (0.0000, 0.0000, 0.0000), Tl at (0.5000, 0.5000, 0.0000), I at (0.0000, 0.5000, 0.5000) and O at (0.5000, 0.5000, 0.5000).

=====

No. 2
Density functional theory data (PBE) for an optimized crystal structure of CaEr3Mg8.

The crystal system is trigonal. The total energy comes out at -2.437 eV/atom. For the energy of formation, the calculation gives -0.066 eV/atom.

The structure belongs to space group P3m1 (No. 156); the cell edges are 6.0893, 6.0893 and 9.7663 Å and the angles 90.00°, 90.00° and 120.00°. The inequivalent atoms are Ca at (0.0000, 0.0000, 0.0000), Er at (0.0000, 0.0000, 0.3815), Er at (0.6667, 0.3333, 0.4944), Er at (0.6667, 0.3333, 0.8624), Mg at (0.1638, 0.3276, 0.6825), Mg at (0.3333, 0.6667, 0.4328), Mg at (0.3333, 0.6667, 0.9340) and Mg at (0.5046, 0.0093, 0.1872).

=====

No. 3
Density functional theory data (PBE) for an optimized crystal structure of DyTmTeO6.

The crystal system is trigonal. The total energy comes out at -7.154 eV/atom. The value obtained for the uncorrected formation energy is -2.491 eV/atom.

The structure belongs to space group P-31c (No. 163); the cell edges are 5.4951, 5.4951 and 9.5122 Å and the angles 90.00°, 90.00° and 120.00°. The inequivalent atoms are Dy at (0.0000, 0.0000, 0.0000), Tm at (0.3333, 0.6667, 0.2500), Te at (0.3333, 0.6667, 0.7500) and O at (0.0382, 0.3703, 0.6352).

=====

No. 4
Density functional theory data (PBE) for an optimized crystal structure of NaPd2Rh.

The crystal system is tetragonal. The calculation puts the polymorph energy (0 for the lowest one) at 0 meV per atom. The total energy comes out at -4.681 eV/atom. For the energy of formation, the calculation gives 0.083 eV/atom.

The structure belongs to space group P4/mmm (No. 123); the cell edges are 4.7683, 4.7683 and 2.7780 Å and the angles 90.00°, 90.00° and 90.00°. The inequivalent atoms are Na at (0.0000, 0.0000, 0.0000), Pd at (0.0000, 0.5000, 0.5000) and Rh at (0.5000, 0.5000, 0.0000).

=====

No. 5
Density functional theory data (PBE) for an optimized crystal structure of Cd2HgH.

The crystal system is cubic. The calculation puts the polymorph energy (0 for the lowest one) at 273 meV per atom. The total energy comes out at -0.931 eV/atom.

The structure belongs to space group Fm-3m (No. 225); the cell edges are 6.8283, 6.8283 and 6.8283 Å and the angles 90.00°, 90.00° and 90.00°. The inequivalent atoms are Cd at (0.2500, 0.2500, 0.2500), Hg at (0.0000, 0.0000, 0.0000) and H at (0.0000, 0.0000, 0.5000).

=====

No. 6
Density functional theory data (PBE) for an optimized crystal structure of Ba6Na2In.

The crystal system is monoclinic. The calculation puts the polymorph energy (0 for the lowest one) at 0 meV per atom. The total energy comes out at -1.939 eV/atom. For the energy of formation, the calculation gives -0.060 eV/atom.

The structure belongs to space group C2/m (No. 12); the cell edges are 11.4042, 6.5713 and 12.2698 Å and the angles 90.00°, 90.03° and 90.00°. The inequivalent atoms are Ba at (0.0008, 0.0000, 0.2080), Ba at (0.1662, 0.5000, 0.5815), Ba at (0.1664, 0.5000, 0.9444), Na at (0.1683, 0.5000, 0.2627) and In at (0.0000, 0.0000, 0.5000).

=====

No. 7
Density functional theory data (PBE) for an optimized crystal structure of MgZr2TiHg.

The crystal system is tetragonal. The total energy comes out at -4.789 eV/atom. For the energy of formation, the calculation gives 0.588 eV/atom.

The structure belongs to space group P4/mmm (No. 123); the cell edges are 4.8670, 4.8670 and 5.3221 Å and the angles 90.00°, 90.00° and 90.00°. The inequivalent atoms are Mg at (0.0000, 0.0000, 0.0000), Zr at (0.0000, 0.5000, 0.5000), Ti at (0.5000, 0.5000, 0.5000) and Hg at (0.5000, 0.5000, 0.0000).

=====

No. 8
Density functional theory data (PBE) for an optimized crystal structure of Ga2TePbS6.

The crystal system is monoclinic. The total energy comes out at -4.107 eV/atom. The value obtained for the uncorrected formation energy is -0.340 eV/atom.

The structure belongs to space group C2/c (No. 15); the cell edges are 14.2746, 11.0087 and 7.4432 Å and the angles 90.00°, 117.55° and 90.00°. The inequivalent atoms are Ga at (0.2308, 0.0941, 0.1650), Te at (0.0000, 0.2554, 0.7500), Pb at (0.0000, 0.2041, 0.2500), S at (0.0904, 0.3886, 0.6143), S at (0.1545, 0.0010, 0.3524) and S at (0.1548, 0.2829, 0.1166).

=====

No. 9
Density functional theory data (PBE) for an optimized crystal structure of PrTmH.

The crystal system is tetragonal. The calculation puts the polymorph energy (0 for the lowest one) at 120 meV per atom. The total energy comes out at -4.303 eV/atom.

The structure belongs to space group I4mm (No. 107); the cell edges are 3.4475, 3.4475 and 12.1899 Å and the angles 90.00°, 90.00° and 90.00°. The inequivalent atoms are Pr at (0.0000, 0.0000, 0.0000), Tm at (0.0000, 0.0000, 0.2899) and H at (0.0000, 0.0000, 0.4701).

=====

No. 10
Density functional theory data (PBE) for an optimized crystal structure of K3Sr2PbO6.

The crystal system is monoclinic. The total energy comes out at -5.010 eV/atom. The value obtained for the uncorrected formation energy is -1.667 eV/atom.

The structure belongs to space group C2/m (No. 12); the cell edges are 6.3248, 10.9590 and 6.6289 Å and the angles 90.00°, 108.65° and 90.00°. The inequivalent atoms are K at (0.0000, 0.0000, 0.0000), K at (0.0000, 0.3356, 0.0000), Sr at (0.0000, 0.1669, 0.5000), Pb at (0.0000, 0.5000, 0.5000), O at (0.2179, 0.3492, 0.7005) and O at (0.2345, 0.5000, 0.3026).

=====

No. 11
Density functional theory data (PBE) for an optimized crystal structure of V2FeHAu.

The crystal system is tetragonal. The total energy comes out at -6.709 eV/atom.

The structure belongs to space group P4/mmm (No. 123); the cell edges are 3.8066, 3.8066 and 3.8370 Å and the angles 90.00°, 90.00° and 90.00°. The inequivalent atoms are V at (0.0000, 0.5000, 0.0000), Fe at (0.0000, 0.0000, 0.5000), H at (0.0000, 0.0000, 0.0000) and Au at (0.5000, 0.5000, 0.5000).

=====

No. 12
Density functional theory data (PBE) for an optimized crystal structure of Y2AgPtC.

The crystal system is tetragonal. The total energy comes out at -6.701 eV/atom. For the energy of formation, the calculation gives -0.492 eV/atom.

The structure belongs to space group P4/mmm (No. 123); the cell edges are 5.0303, 5.0303 and 3.9450 Å and the angles 90.00°, 90.00° and 90.00°. The inequivalent atoms are Y at (0.0000, 0.5000, 0.0000), Ag at (0.0000, 0.0000, 0.5000), Pt at (0.5000, 0.5000, 0.5000) and C at (0.5000, 0.5000, 0.0000).

=====

No. 13
Density functional theory data (PBE) for an optimized crystal structure of Zr2ZnBr.

The crystal system is orthorhombic. The calculation puts the polymorph energy (0 for the lowest one) at 84 meV per atom. The total energy comes out at -5.231 eV/atom. The value obtained for the uncorrected formation energy is -0.221 eV/atom.

The structure belongs to space group Pmm2 (No. 25); the cell edges are 3.2752, 5.4834 and 4.5897 Å and the angles 90.00°, 90.00° and 90.00°. The inequivalent atoms are Zr at (0.0000, 0.0000, 0.0000), Zr at (0.5000, 0.5000, 0.4875), Zn at (0.5000, 0.0000, 0.4986) and Br at (0.0000, 0.5000, 0.9869).

=====

No. 14
Density functional theory data (PBE) for an optimized crystal structure of SrMoOs2.

The crystal system is orthorhombic. The calculation puts the polymorph energy (0 for the lowest one) at 531 meV per atom. The total energy comes out at -7.706 eV/atom. For the energy of formation, the calculation gives 1.038 eV/atom.

The structure belongs to space group Cmmm (No. 65); the cell edges are 6.4214, 7.9827 and 2.8003 Å and the angles 90.00°, 90.00° and 90.00°. The inequivalent atoms are Sr at (0.0000, 0.0000, 0.0000), Mo at (0.0000, 0.5000, 0.0000) and Os at (0.2500, 0.2500, 0.5000).

=====

No. 15
Density functional theory data (PBE) for an optimized crystal structure of CaFe2Tc.

The crystal system is tetragonal. The calculation puts the polymorph energy (0 for the lowest one) at 38 meV per atom. The total energy comes out at -6.922 eV/atom. For the energy of formation, the calculation gives 0.401 eV/atom.

The structure belongs to space group P4mm (No. 99); the cell edges are 2.9348, 2.9348 and 7.4936 Å and the angles 90.00°, 90.00° and 90.00°. The inequivalent atoms are Ca at (0.0000, 0.0000, 0.0000), Fe at (0.0000, 0.0000, 0.4872), Fe at (0.5000, 0.5000, 0.3103) and Tc at (0.5000, 0.5000, 0.6824).

=====

No. 16
Density functional theory data (PBE) for an optimized crystal structure of RbAuBr2.

The crystal system is tetragonal. The calculation puts the polymorph energy (0 for the lowest one) at 173 meV per atom. The total energy comes out at -2.669 eV/atom. The value obtained for the uncorrected formation energy is -0.771 eV/atom.

The structure belongs to space group I-42d (No. 122); the cell edges are 6.8853, 6.8853 and 14.1219 Å and the angles 90.00°, 90.00° and 90.00°. The inequivalent atoms are Rb at (0.0000, 0.0000, 0.0000), Au at (0.0000, 0.0000, 0.5000) and Br at (0.1653, 0.2500, 0.6250).

=====

No. 17
Density functional theory data (PBE) for an optimized crystal structure of MnTlBi2Au.

The crystal system is tetragonal. The total energy comes out at -2.946 eV/atom. For the energy of formation, the calculation gives 1.569 eV/atom.

The structure belongs to space group P4/mmm (No. 123); the cell edges are 5.8190, 5.8190 and 5.1072 Å and the angles 90.00°, 90.00° and 90.00°. The inequivalent atoms are Mn at (0.0000, 0.0000, 0.0000), Tl at (0.5000, 0.5000, 0.5000), Bi at (0.0000, 0.5000, 0.5000) and Au at (0.5000, 0.5000, 0.0000).

=====

No. 18
Density functional theory data (PBE) for an optimized crystal structure of Pm3HoEr3Te8.

The crystal system is trigonal. The total energy comes out at -5.222 eV/atom. The value obtained for the uncorrected formation energy is -1.378 eV/atom.

The structure belongs to space group R-3m (No. 166, hexagonal axes); the cell edges are 8.7291, 8.7291 and 21.5335 Å and the angles 90.00°, 90.00° and 120.00°. The inequivalent atoms are Pm at (0.0000, 0.5000, 0.0000), Ho at (0.0000, 0.0000, 0.5000), Er at (0.0000, 0.5000, 0.5000), Te at (0.0000, 0.0000, 0.2461) and Te at (0.0094, 0.5047, 0.7516).

=====

No. 19
Density functional theory data (PBE) for an optimized crystal structure of ZnSi2Ag.

The crystal system is tetragonal. The total energy comes out at -3.290 eV/atom. The value obtained for the uncorrected formation energy is 0.452 eV/atom.

The structure belongs to space group I-42d (No. 122); the cell edges are 7.3276, 7.3276 and 5.1810 Å and the angles 90.00°, 90.00° and 90.00°. The inequivalent atoms are Zn at (0.0000, 0.0000, 0.0000), Si at (0.2452, 0.2500, 0.1250) and Ag at (0.0000, 0.0000, 0.5000).

=====

No. 20
Density functional theory data (PBE) for an optimized crystal structure of SiPt3.

The crystal system is tetragonal. The total energy comes out at -6.227 eV/atom. The value obtained for the uncorrected formation energy is -0.341 eV/atom.

The structure belongs to space group P4/mmm (No. 123); the cell edges are 2.9095, 2.9095 and 7.0298 Å and the angles 90.00°, 90.00° and 90.00°. The inequivalent atoms are Si at (0.0000, 0.0000, 0.0000), Pt at (0.0000, 0.0000, 0.5000) and Pt at (0.5000, 0.5000, 0.2098).